1.
A relaxed structure of NaYIr2. Source: Alexandria via LeMat-Bulk, functional PBE.

a b c (Å): 6.079 6.079 6.079
angles (deg): 100.92 100.92 128.39
Atoms (fractional coordinates):
Na (0.000, 0.000, 0.000)
Na (0.750, 0.250, 0.500)
Y (0.250, 0.750, 0.500)
Y (0.500, 0.500, 0.000)
Ir (0.123, 0.625, 0.998)
Ir (0.375, 0.373, 0.498)
Ir (0.627, 0.125, 0.002)
Ir (0.875, 0.877, 0.502)

ΔE_f	0.281	eV per atom
energy above the lowest structure with this stoichiometry	245	meV/atom
spin magnetization	0.00	μB per formula unit
total DFT energy (no corrections)	-6.096	eV/atom


2.
A relaxed structure of ScCr2Fe. Source: Alexandria via LeMat-Bulk, functional PBE.

a b c (Å): 4.243 4.243 4.243
angles (deg): 60.00 60.00 60.00
Atoms (fractional coordinates):
Sc (0.000, 0.000, 0.000)
Cr (0.500, 0.500, 0.500)
Cr (0.750, 0.750, 0.750)
Fe (0.250, 0.250, 0.250)

ΔE_f	0.180	eV per atom
energy above the lowest structure with this stoichiometry	27	meV/atom
spin magnetization	0.75	μB per formula unit
total DFT energy (no corrections)	-8.330	eV/atom


3.
A relaxed structure of Tb2Dy2Sc. Source: Alexandria via LeMat-Bulk, functional PBE.

a b c (Å): 15.941 15.941 15.941
angles (deg): 167.31 159.83 23.90
Atoms (fractional coordinates):
Tb (0.270, 0.020, 0.250)
Tb (0.368, 0.118, 0.250)
Tb (0.632, 0.882, 0.750)
Tb (0.730, 0.980, 0.750)
Dy (0.059, 0.809, 0.250)
Dy (0.457, 0.707, 0.750)
Dy (0.543, 0.293, 0.250)
Dy (0.941, 0.191, 0.750)
Sc (0.173, 0.423, 0.750)
Sc (0.827, 0.577, 0.250)

ΔE_f	0.185	eV per atom
energy above the lowest structure with this stoichiometry	65	meV/atom
spin magnetization	0.00	μB per formula unit
total DFT energy (no corrections)	-4.774	eV/atom


4.
A relaxed structure of ZrTiAg3. Source: Alexandria via LeMat-Bulk, functional PBE.

a b c (Å): 4.859 4.859 4.859
angles (deg): 90.00 90.00 90.00
Atoms (fractional coordinates):
Zr (0.000, 0.000, 0.000)
Ti (0.500, 0.500, 0.500)
Ag (0.000, 0.500, 0.500)
Ag (0.500, 0.000, 0.500)
Ag (0.500, 0.500, 0.000)

ΔE_f	0.972	eV per atom
energy above the lowest structure with this stoichiometry	0	meV/atom
spin magnetization	0.19	μB per formula unit
total DFT energy (no corrections)	-4.027	eV/atom


5.
A relaxed structure of Y3Ni. Source: Alexandria via LeMat-Bulk, functional PBE.

a b c (Å): 3.486 3.555 9.122
angles (deg): 90.00 90.00 90.00
Atoms (fractional coordinates):
Y (0.000, 0.000, 0.000)
Y (0.000, 0.500, 0.345)
Y (0.500, 0.500, 0.711)
Ni (0.500, 0.000, 0.479)

ΔE_f	0.022	eV per atom
spin magnetization	0.44	μB per formula unit
total DFT energy (no corrections)	-6.272	eV/atom


6.
A relaxed structure of Pr3Sm4Dy2. Source: Alexandria via LeMat-Bulk, functional PBE.

a b c (Å): 6.306 6.306 14.977
angles (deg): 110.47 110.47 33.55
Atoms (fractional coordinates):
Pr (0.000, 0.000, 0.000)
Pr (0.109, 0.109, 0.443)
Pr (0.891, 0.891, 0.557)
Sm (0.221, 0.221, 0.889)
Sm (0.330, 0.330, 0.331)
Sm (0.670, 0.670, 0.669)
Sm (0.779, 0.779, 0.111)
Dy (0.445, 0.445, 0.779)
Dy (0.555, 0.555, 0.221)

ΔE_f	0.016	eV per atom
energy above the lowest structure with this stoichiometry	0	meV/atom
spin magnetization	0.00	μB per formula unit
total DFT energy (no corrections)	-4.698	eV/atom


7.
A relaxed structure of Te3Se. Source: Alexandria via LeMat-Bulk, functional PBE.

a b c (Å): 8.210 8.210 8.125
angles (deg): 90.00 90.00 120.00
Atoms (fractional coordinates):
Te (0.000, 0.500, 0.000)
Te (0.000, 0.500, 0.500)
Te (0.160, 0.320, 0.250)
Te (0.160, 0.840, 0.250)
Te (0.320, 0.160, 0.750)
Te (0.500, 0.000, 0.000)
Te (0.500, 0.000, 0.500)
Te (0.500, 0.500, 0.000)
Te (0.500, 0.500, 0.500)
Te (0.680, 0.840, 0.250)
Te (0.840, 0.160, 0.750)
Te (0.840, 0.680, 0.750)
Se (0.000, 0.000, 0.000)
Se (0.000, 0.000, 0.500)
Se (0.333, 0.667, 0.750)
Se (0.667, 0.333, 0.250)

ΔE_f (raw)	0.154	eV per atom
spin magnetization	0.00	μB per formula unit
total DFT energy (no corrections)	-3.073	eV/atom


8.
A relaxed structure of ScTl2Fe. Source: Alexandria via LeMat-Bulk, functional PBE.

a b c (Å): 5.134 5.134 5.176
angles (deg): 110.48 110.48 42.21
Atoms (fractional coordinates):
Sc (0.000, 0.000, 0.000)
Tl (0.233, 0.233, 0.725)
Tl (0.767, 0.767, 0.275)
Fe (0.500, 0.500, 0.500)

ΔE_f	0.208	eV per atom
energy above the lowest structure with this stoichiometry	28	meV/atom
spin magnetization	1.75	μB per formula unit
total DFT energy (no corrections)	-4.674	eV/atom


9.
A relaxed structure of ScTc2Mo2. Source: Alexandria via LeMat-Bulk, functional PBE.

a b c (Å): 3.147 4.482 11.423
angles (deg): 90.00 97.82 90.00
Atoms (fractional coordinates):
Sc (0.147, 0.250, 0.295)
Sc (0.853, 0.750, 0.705)
Tc (0.351, 0.250, 0.703)
Tc (0.455, 0.750, 0.909)
Tc (0.545, 0.250, 0.091)
Tc (0.649, 0.750, 0.297)
Mo (0.049, 0.750, 0.099)
Mo (0.244, 0.750, 0.489)
Mo (0.756, 0.250, 0.511)
Mo (0.951, 0.250, 0.901)

ΔE_f	-0.120	eV per atom
energy above the lowest structure with this stoichiometry	0	meV/atom
spin magnetization	0.00	μB per formula unit
total DFT energy (no corrections)	-9.865	eV/atom


10.
A relaxed structure of Na2MgGaS4. Source: Alexandria via LeMat-Bulk, functional PBE.

a b c (Å): 5.986 5.986 5.986
angles (deg): 107.33 107.33 113.84
Atoms (fractional coordinates):
Na (0.000, 0.500, 0.500)
Na (0.500, 0.000, 0.500)
Mg (0.000, 0.000, 0.000)
Ga (0.500, 0.500, 0.000)
S (0.096, 0.096, 0.650)
S (0.446, 0.446, 0.350)
S (0.554, 0.904, 0.000)
S (0.904, 0.554, 0.000)

ΔE_f (raw)	-0.882	eV per atom
spin magnetization	0.00	μB per formula unit
total DFT energy (no corrections)	-3.853	eV/atom


11.
A relaxed structure of HgTeBrN2. Source: Alexandria via LeMat-Bulk, functional PBE.

a b c (Å): 4.149 4.149 8.882
angles (deg): 90.00 90.00 90.00
Atoms (fractional coordinates):
Hg (0.000, 0.000, 0.000)
Te (0.500, 0.500, 0.000)
Br (0.500, 0.500, 0.500)
N (0.000, 0.500, 0.500)
N (0.500, 0.000, 0.500)

ΔE_f (raw)	1.930	eV per atom
energy above the lowest structure with this stoichiometry	167	meV/atom
spin magnetization	3.01	μB per formula unit
total DFT energy (no corrections)	-2.424	eV/atom


12.
A relaxed structure of RbSiS2. Source: Alexandria via LeMat-Bulk, functional PBE.

a b c (Å): 7.062 7.062 7.062
angles (deg): 121.02 121.02 88.24
Atoms (fractional coordinates):
Rb (0.000, 0.000, 0.000)
Rb (0.750, 0.250, 0.500)
Si (0.250, 0.750, 0.500)
Si (0.500, 0.500, 0.000)
S (0.265, 0.625, 0.140)
S (0.375, 0.515, 0.640)
S (0.485, 0.125, 0.860)
S (0.875, 0.735, 0.360)

ΔE_f (raw)	-0.645	eV per atom
spin magnetization	0.00	μB per formula unit
total DFT energy (no corrections)	-4.306	eV/atom